(1)
NaHfPO | PBE | relaxed

Summary:
**Polymorph energy (0 for the lowest one)**: 2.57 kcal/mol of atoms
**Raw total energy**: -6.92 eV/atom
**Crystal system**: orthorhombic

Cell lengths 3.7112, 7.0401, 5.4768 Å; angles 90.00, 90.00, 90.00 degrees
Element x y z (fractional)
Hf  0.0000  0.6443  0.3865
Na  0.5000  0.0197  0.6034
O  0.5000  0.2430  0.8834
Hf  0.0000  0.3557  0.8865
P  0.0000  0.2906  0.3806
P  0.0000  0.7094  0.8806
O  0.5000  0.7570  0.3834
Na  0.5000  0.9803  0.1034



(2)
NaHfPO | PBE | relaxed

Summary:
**Polymorph energy (0 for the lowest one)**: 7.37 kcal/mol of atoms
**Raw total energy**: -6.71 eV/atom
**Crystal system**: tetragonal

Cell lengths 5.1460, 5.1460, 4.6874 Å; angles 90.00, 90.00, 90.00 degrees
Element x y z (fractional)
O  0.5000  0.5000  0.0000
Hf  0.0000  0.0000  0.5000
P  0.5000  0.0000  0.5022
Na  0.5000  0.0000  0.0020
P  0.0000  0.5000  0.4978
O  0.0000  0.0000  0.0000
Na  0.0000  0.5000  0.9980
Hf  0.5000  0.5000  0.5000



(3)
Na2HfReO6 | PBE | relaxed

Summary:
**Polymorph energy (0 for the lowest one)**: 0.00 kcal/mol of atoms
**Raw total energy**: -7.73 eV/atom
**Crystal system**: monoclinic

Cell lengths 5.4753, 5.5208, 9.5355 Å; angles 90.00, 125.02, 90.00 degrees
Element x y z (fractional)
O  0.8132  0.2019  0.5323
O  0.1868  0.7981  0.4677
Na  0.7528  0.0227  0.2502
O  0.2673  0.2805  0.4671
O  0.6770  0.4875  0.2409
Na  0.2472  0.9773  0.7498
O  0.7327  0.7805  0.0329
O  0.8132  0.2981  0.0323
O  0.3230  0.5125  0.7591
Na  0.7528  0.4773  0.7502
Hf  0.0000  0.5000  0.5000
O  0.7327  0.7195  0.5329
Re  0.5000  0.0000  0.5000
O  0.3230  0.9875  0.2591
Na  0.2472  0.5227  0.2498
O  0.6770  0.0125  0.7409
Hf  0.0000  0.0000  0.0000
Re  0.5000  0.5000  0.0000
O  0.2673  0.2195  0.9671
O  0.1868  0.7019  0.9677



(4)
Na2HfReO6 | PBE | relaxed

Summary:
**Polymorph energy (0 for the lowest one)**: 0.18 kcal/mol of atoms
**Raw total energy**: -7.72 eV/atom
**Crystal system**: triclinic

Cell lengths 5.5857, 5.5885, 7.9019 Å; angles 90.01, 90.01, 90.00 degrees
Element x y z (fractional)
Na  0.4500  0.0499  0.7500
Na  0.9500  0.5502  0.2500
O  0.4490  0.5493  0.7414
Hf  0.4501  0.5503  0.0000
Re  0.4499  0.5496  0.5000
O  0.6964  0.7860  0.5008
O  0.2036  0.3133  0.4992
O  0.6863  0.3034  0.5002
O  0.1891  0.8066  0.0004
Re  0.9501  0.0504  0.0000
O  0.4510  0.5502  0.2586
O  0.1941  0.2891  0.0007
O  0.2133  0.7958  0.4997
Hf  0.9499  0.0497  0.5000
O  0.7060  0.8116  0.9993
O  0.7113  0.2943  0.9996
Na  0.4499  0.0500  0.2500
Na  0.9501  0.5500  0.7501
O  0.9489  0.0500  0.2414
O  0.9511  0.0505  0.7586



(5)
Na2HfReO6 | PBE | relaxed

Summary:
**Polymorph energy (0 for the lowest one)**: 0.02 kcal/mol of atoms
**Raw total energy**: -7.73 eV/atom
**Crystal system**: tetragonal

Cell lengths 5.5580, 5.5580, 5.5580 Å; angles 120.52, 120.52, 89.09 degrees
Element x y z (fractional)
O  0.7584  0.7584  0.0000
O  0.1941  0.2877  0.4818
O  0.7123  0.1941  0.9064
Na  0.2500  0.7500  0.5000
O  0.2877  0.8059  0.0936
Na  0.7500  0.2500  0.5000
Hf  0.5000  0.5000  0.0000
O  0.2416  0.2416  0.0000
Re  0.0000  0.0000  0.0000
O  0.8059  0.7123  0.5182



(6)
Na2HfReO6 | PBE | relaxed

Summary:
**Polymorph energy (0 for the lowest one)**: 0.18 kcal/mol of atoms
**Raw total energy**: -7.72 eV/atom
**Crystal system**: trigonal

Cell lengths 5.5855, 5.5855, 5.5853 Å; angles 119.93, 119.93, 60.08 degrees
Element x y z (fractional)
O  0.7597  0.2416  0.2592
O  0.7584  0.2403  0.7408
Re  0.0000  0.0000  0.5000
Hf  0.5000  0.5000  0.0000
Na  0.2500  0.2500  0.2502
O  0.2403  0.7584  0.7408
O  0.2412  0.2412  0.7417
Na  0.7500  0.7500  0.7498
O  0.2416  0.7597  0.2592
O  0.7588  0.7588  0.2583



(7)
Na2HfSe2O | PBE | relaxed

Summary:
**Raw total energy**: -5.80 eV/atom
**Crystal system**: monoclinic

Cell lengths 6.5366, 6.5366, 6.9578 Å; angles 97.85, 97.85, 116.76 degrees
Element x y z (fractional)
Na  0.6609  0.3391  0.5000
Hf  0.8617  0.1383  0.0000
Se  0.9286  0.5683  0.2301
Se  0.0714  0.4317  0.7699
O  0.8539  0.8539  0.8373
Na  0.0000  0.0000  0.5000
Na  0.3391  0.6609  0.5000
Se  0.4317  0.0714  0.7699
Se  0.5683  0.9286  0.2301
Na  0.5000  0.5000  0.0000
Hf  0.1383  0.8617  0.0000
O  0.1461  0.1461  0.1627



(8)
Na2HfSeO2 | PBE | relaxed

Summary:
**Raw total energy**: -6.44 eV/atom
**Crystal system**: monoclinic

Cell lengths 6.2198, 6.2198, 6.7230 Å; angles 100.27, 100.27, 123.22 degrees
Element x y z (fractional)
Na  0.5000  0.5000  0.0000
Hf  0.1929  0.8071  0.0000
O  0.4245  0.0350  0.8181
Se  0.7532  0.7532  0.7482
O  0.9650  0.5755  0.1819
Na  0.0000  0.0000  0.5000
Se  0.2468  0.2468  0.2518
O  0.0350  0.4245  0.8181
O  0.5755  0.9650  0.1819
Na  0.3011  0.6989  0.5000
Hf  0.8071  0.1929  0.0000
Na  0.6989  0.3011  0.5000